# Dy3Ni2Ge3

A geometry-optimized Dy3Ni2Ge3 structure (PBE, OQMD via LeMat-Bulk).

Values from the calculation:
Electronic total energy: -90.78 eV for the cell shown
Theoretical density: 8.928 g/cm3
V: 19.129 Å³/atom
Space group: Cmcm
Total moment: 0.00 μB per formula unit

a b c (Å): 5.5686 5.5686 14.1121
angles (deg): 90.00 90.00 135.62
Last column: nearest neighbours and their distance in Å.
Element x y z (fractional)
Dy1 0.1331 0.8669 0.2500  5 Ge 2.96-3.07, 4 Ni 3.06
Ge1 0.1237 0.8763 0.0382  3 Ni 2.41-2.66
Ge2 0.8763 0.1237 0.9618  3 Ni 2.41-2.66
Dy2 0.4118 0.5882 0.1088  7 Ge 2.98-3.19, 4 Ni 2.99-3.17
Ni1 0.7013 0.2987 0.3998  4 Ge 2.41-2.66
Dy3 0.8669 0.1331 0.7500  5 Ge 2.96-3.07, 4 Ni 3.06
Ge3 0.8763 0.1237 0.5382  3 Ni 2.41-2.66
Dy4 0.4118 0.5882 0.3912  7 Ge 2.98-3.19, 4 Ni 2.99-3.17
Ni2 0.7013 0.2987 0.1002  4 Ge 2.41-2.66
Ge4 0.1237 0.8763 0.4618  3 Ni 2.41-2.66
Dy5 0.5882 0.4118 0.8912  7 Ge 2.98-3.19, 4 Ni 2.99-3.17
Ge5 0.8349 0.1651 0.2500  2 Ni 2.52
Dy6 0.5882 0.4118 0.6088  7 Ge 2.98-3.19, 4 Ni 2.99-3.17
Ge6 0.1651 0.8349 0.7500  2 Ni 2.52
Ni3 0.2987 0.7013 0.6002  4 Ge 2.41-2.66
Ni4 0.2987 0.7013 0.8998  4 Ge 2.41-2.66